1.
Below is crystalline SrCaF2 at its relaxed geometry, with properties calculated at the PBE level.

Properties
- Spin magnetization: 1.07 μB/f.u.
- Energy relative to the elements, uncorrected: -1.909 eV/atom
- Polymorph energy (0 for the lowest one): 979.1 meV per atom

Lattice parameters (Å, degrees): 6.923 6.923 6.923 90.00 90.00 90.00
Space group Fm-3m (No. 225)
Inequivalent atoms, fractional coordinates:
Sr 0.000 0.000 0.000 x4
Ca 0.000 0.000 0.500 x4
F 0.250 0.250 0.250 x8


2.
Below is crystalline Sr2CaF8 at its relaxed geometry, with properties calculated at the PBE level.

Properties
- Spin magnetization: 2.04 μB/f.u.
- Energy relative to the elements, uncorrected: -3.117 eV/atom

Lattice parameters (Å, degrees): 4.114 6.121 12.318 90.00 90.00 90.00
Space group Immm (No. 71)
Inequivalent atoms, fractional coordinates:
Sr 0.000 0.000 0.185 x4
Ca 0.000 0.000 0.500 x2
F 0.000 0.175 0.000 x4
F 0.000 0.259 0.341 x8
F 0.000 0.500 0.112 x4


3.
Below is crystalline Sr2CaF7 at its relaxed geometry, with properties calculated at the PBE level.

Properties
- Spin magnetization: 1.13 μB/f.u.
- Energy relative to the elements, uncorrected: -3.468 eV/atom

Lattice parameters (Å, degrees): 4.1133 4.1133 34.4162 90.00 90.00 120.00
Space group R-3m (No. 166, hexagonal axes)
Inequivalent atoms, fractional coordinates:
Sr 0.0000 0.0000 0.0712 x6
Ca 0.0000 0.0000 0.5000 x3
F 0.0000 0.0000 0.0000 x3
F 0.0000 0.0000 0.1466 x6
F 0.0000 0.0000 0.2804 x6
F 0.0000 0.0000 0.4329 x6


4.
Below is crystalline Sr2CaF6 at its relaxed geometry, with properties calculated at the PBE level.

Properties
- Spin magnetization: 0.00 μB/f.u.
- Energy relative to the elements, uncorrected: -3.939 eV/atom

Lattice parameters (Å, degrees): 4.070 5.753 12.150 90.00 90.00 90.00
Space group Immm (No. 71)
Inequivalent atoms, fractional coordinates:
Sr 0.000 0.000 0.166 x4
Ca 0.000 0.000 0.500 x2
F 0.000 0.244 0.339 x8
F 0.000 0.264 0.000 x4